Here is a relaxed CaMnSi2 crystal from the Alexandria database. Energies are from PBE.

Total energy: -5.524 eV per atom
Energy relative to the elements, uncorrected: -0.0202 eV per atom
Calculated volume: 16.7 Å³/atom

Cell and atoms, written as CIF:
```
data_CaMnSi2
_symmetry_space_group_name_H-M 'P 4 m m'
_symmetry_Int_Tables_number 99
_symmetry_space_group_name_Hall 'P 4 -2'
_cell_length_a 3.149
_cell_length_b 3.149
_cell_length_c 6.739
_cell_angle_alpha 90.00
_cell_angle_beta 90.00
_cell_angle_gamma 90.00
loop_
_atom_site_label
_atom_site_type_symbol
_atom_site_fract_x
_atom_site_fract_y
_atom_site_fract_z
Ca1 Ca 0.000 0.000 0.000
Mn1 Mn 0.500 0.500 0.335
Si1 Si 0.000 0.000 0.451
Si2 Si 0.500 0.500 0.676
```